[1]
Density functional theory data (GGA-PBE) for a geometry-optimized PmGdZrSc structure.

Values from the calculation:
Its calculated formation energy is 173.5 meV/atom. The magnetic moment comes out at 8.4 μB per formula unit. For the total energy, the calculation gives -132.07 eV per cell.

Lattice parameters (Å, degrees): 7.6407 7.6407 7.6407 90.00 90.00 90.00
Space group F-43m (No. 216)
Inequivalent atoms, fractional coordinates:
1 Pm 0.0000 0.0000 0.0000 [4 per cell]
2 Gd 0.0000 0.0000 0.5000 [4 per cell]
3 Zr 0.2500 0.2500 0.7500 [4 per cell]
4 Sc 0.2500 0.2500 0.2500 [4 per cell]

***

[2]
Density functional theory data (GGA-PBE) for a geometry-optimized BaTm2O structure.

Values from the calculation:
The calculation puts the formation energy without anion corrections at -1.117 eV/atom. The magnetic moment comes out at 0.0 μB per formula unit. For the total energy, the calculation gives -60.88 eV per cell.

Lattice parameters (Å, degrees): 3.5134 3.5134 29.0536 90.00 90.00 120.00
Space group R-3m (No. 166, hexagonal axes)
Inequivalent atoms, fractional coordinates:
1 Ba 0.0000 0.0000 0.0000 [3 per cell]
2 Tm 0.0000 0.0000 0.1228 [6 per cell]
3 O 0.0000 0.0000 0.5000 [3 per cell]